No. 1
This record from Alexandria describes a relaxed PmPPd4 crystal. The functional is PBE.

The structure in CIF format:
```
data_PmPPd4
_cell_length_a 7.5050
_cell_length_b 4.0165
_cell_length_c 6.9535
_cell_angle_alpha 90.00
_cell_angle_beta 90.00
_cell_angle_gamma 90.00
_symmetry_space_group_name_H-M 'P m m a'
_symmetry_Int_Tables_number 51
_symmetry_space_group_name_Hall '-P 2a 2a'
loop_
_atom_site_label
_atom_site_fract_x
_atom_site_fract_y
_atom_site_fract_z
Pm1 0.2500 0.0000 0.1245
P1 0.2500 0.0000 0.7126
Pd1 0.0000 0.0000 0.5000
Pd2 0.0620 0.5000 0.8004
Pd3 0.2500 0.5000 0.4346
```

Computed properties:
- Formation enthalpy at 0 K: -390 kJ/mol of formula units

---

No. 2
This record from Alexandria describes a relaxed PmP2Pd crystal. The functional is PBE.

The structure in CIF format:
```
data_PmP2Pd
_cell_length_a 4.0472
_cell_length_b 4.0472
_cell_length_c 15.9488
_cell_angle_alpha 90.00
_cell_angle_beta 90.00
_cell_angle_gamma 120.00
_symmetry_space_group_name_H-M 'R -3 m'
_symmetry_Int_Tables_number 166
_symmetry_space_group_name_Hall '-R 3 2"'
loop_
_atom_site_label
_atom_site_fract_x
_atom_site_fract_y
_atom_site_fract_z
Pm1 0.0000 0.0000 0.0000
P1 0.0000 0.0000 0.2297
Pd1 0.0000 0.0000 0.5000
```

Computed properties:
- Formation enthalpy at 0 K: -300 kJ/mol of formula units

---

No. 3
This record from Alexandria describes a relaxed Pm3P4Pd7 crystal. The functional is PBE.

The structure in CIF format:
```
data_Pm3P4Pd7
_cell_length_a 15.6233
_cell_length_b 4.0581
_cell_length_c 9.5153
_cell_angle_alpha 90.00
_cell_angle_beta 125.80
_cell_angle_gamma 90.00
_symmetry_space_group_name_H-M 'C 1 2/m 1'
_symmetry_Int_Tables_number 12
_symmetry_space_group_name_Hall '-C 2y'
loop_
_atom_site_label
_atom_site_fract_x
_atom_site_fract_y
_atom_site_fract_z
Pm1 0.0000 0.0000 0.0000
Pm2 0.1804 0.5000 0.6779
P1 0.1057 0.0000 0.8200
P2 0.1600 0.5000 0.2584
Pd1 0.0000 0.0000 0.5000
Pd2 0.0093 0.5000 0.2821
Pd3 0.1664 0.0000 0.4185
Pd4 0.1942 0.5000 0.0291
```

Computed properties:
- Formation enthalpy at 0 K: -1316 kJ/mol of formula units

---

Final energy values, unit eV/atom, following the record order: -5.829, -5.969, -6.134.